Record 1
Computed, not measured: an optimized crystal structure of Ba2Ga3HgPd4 at the GGA-PBE level of DFT.

Values from the calculation:
Symmetry: P-4m2 (115)
D(E_F): 5.64 states/eV per cell
Calculated formation energy: -0.616 eV per atom

Structure (extended XYZ):
```
10
Lattice="-2.607 -0.170 -3.805 -3.660 -1.167 2.560 -2.429 10.265 1.207" Properties=species:S:1:pos:R:3 pbc="T T T"
Pd 0.000 0.000 0.000
Hg -4.348 4.464 -0.019
Ga -2.100 0.559 1.414
Ba -3.668 7.183 2.193
Ga -1.215 5.132 0.604
Pd -2.692 3.058 1.708
Pd -3.134 -0.668 -0.623
Ga -3.463 9.037 -0.830
Ba -1.895 2.413 -1.609
Pd -2.871 6.538 -1.124
```

=====

Record 2
Computed, not measured: an optimized crystal structure of AlVSi2Pt at the GGA-PBE level of DFT.

Values from the calculation:
Symmetry: P4/mmm (123)
D(E_F): 4.39 states/eV per cell
Formation energy (no corrections): 5.61 eV per formula unit
Offset from the most stable computed form: 5.0 kJ/mol of atoms

Structure (extended XYZ):
```
5
Lattice="-4.363 -0.716 -0.927 0.069 -3.638 2.486 -1.169 2.447 3.613" Properties=species:S:1:pos:R:3 pbc="T T T"
Al 0.000 0.000 0.000
Pt -2.732 -0.953 2.586
Si -0.584 1.224 1.807
Si -2.182 -0.358 -0.463
V 0.034 -1.819 1.243
```